No. 1
A relaxed NaTc3Cl crystal. Source: Alexandria, functional PBE-GGA. Values from VASP.

Quantum ESPRESSO input file:
```
&SYSTEM
  ibrav = 0, nat = 5, ntyp = 3
/
ATOMIC_SPECIES
Cl 35.45 Cl.upf
Tc 98.00 Tc.upf
Na 22.99 Na.upf
CELL_PARAMETERS angstrom
-4.8454 -0.6575 -1.1019
1.1645 -0.4463 -4.8548
0.5388 -4.9491 0.5842
ATOMIC_POSITIONS crystal
Cl 0.5000 0.5000 0.5000
Tc 0.0000 0.5000 0.0000
Tc 0.5000 0.0000 0.0000
Tc 0.0000 0.0000 0.5000
Na 0.0000 0.0000 0.0000
```

SG: Pm-3m, No. 221
Fermi-level density of states: 1.153 states/eV/atom
Total magnetic moment: 11.22 Bohr magnetons per cell
Final energy: -0.15273 Ha/atom
Offset from the most stable computed form: 1497 meV per atom

***

No. 2
A relaxed NaTcCl3 crystal. Source: Alexandria, functional PBE-GGA. Values from VASP.

Quantum ESPRESSO input file:
```
&SYSTEM
  ibrav = 0, nat = 5, ntyp = 3
/
ATOMIC_SPECIES
Cl 35.45 Cl.upf
Na 22.99 Na.upf
Tc 98.00 Tc.upf
CELL_PARAMETERS angstrom
-0.5824 4.3789 2.2979
1.2315 -2.1125 4.3377
4.7895 1.0756 -0.8359
ATOMIC_POSITIONS crystal
Cl 0.0000 0.0000 0.5000
Cl 0.0000 0.5000 0.0000
Cl 0.5000 0.0000 0.0000
Na 0.0000 0.0000 0.0000
Tc 0.5000 0.5000 0.5000
```

SG: Pm-3m, No. 221
Fermi-level density of states: 0.000 states/eV/atom
Total magnetic moment: 5.00 Bohr magnetons per cell
Final energy: -0.12723 Ha/atom
Offset from the most stable computed form: 954 meV per atom